Entry 1:
VASP calculation (PBE) on TlVCl3 after structural relaxation.

For the spin magnetization, the calculation gives 3.001 μB/f.u. The calculation puts the formation energy without anion corrections at -0.921 eV/atom. The space group is Cmcm.

```
TlVCl3
1.0
-3.137 -0.428 -3.965
-5.577 -3.929 4.837
0.135 7.571 -0.924
Cl Tl V
6 2 2
Direct
0.750 0.843 0.777
0.250 0.509 0.223
0.750 0.786 0.219
0.250 0.566 0.781
0.750 0.286 0.777
0.250 0.066 0.223
0.250 0.039 0.726
0.750 0.313 0.274
0.250 0.753 0.154
0.750 0.599 0.846
```

Entry 2:
VASP calculation (PBE) on TlV2Cl6 after structural relaxation.

For the spin magnetization, the calculation gives 5.000 μB/f.u. The calculation puts the formation energy without anion corrections at -1.087 eV/atom. The space group is C2/c.

```
TlV2Cl6
1.0
6.740 0.227 0.220
2.241 9.417 0.791
2.241 1.096 9.387
Cl Tl V
12 2 4
Direct
0.213 0.820 0.960
0.174 0.638 0.703
0.675 0.580 0.002
0.826 0.362 0.297
0.325 0.420 0.998
0.825 0.998 0.420
0.674 0.703 0.638
0.287 0.040 0.180
0.175 0.002 0.580
0.713 0.960 0.820
0.787 0.180 0.040
0.326 0.297 0.362
0.250 0.149 0.851
0.750 0.851 0.149
0.422 0.633 0.846
0.578 0.367 0.154
0.922 0.846 0.633
0.078 0.154 0.367
```